First-principles (PBE) data for a relaxed structure of TiNb2N, as listed in Alexandria.

a b c (Å): 3.029 3.029 8.020
angles (deg): 79.11 79.11 60.00
Positions (direct):
N 0.500 0.500 0.500
Ti 0.000 0.000 0.000
Nb 0.889 0.889 0.333
Nb 0.111 0.111 0.667

energy above the most stable polymorph in this dataset: 25.1 kJ/mol of atoms
volume: 62 Å³/cell
magnetic moment: 0.0 μB per formula unit
symmetry: R-3m
formation energy from raw total energies: -0.21 eV/atom
D(E_F): 3.274 states/eV per cell
crystal system: trigonal

---

First-principles (PBE) data for a relaxed structure of Ti2NbN2, as listed in Alexandria.

a b c (Å): 5.429 5.429 4.611
angles (deg): 108.59 108.59 92.41
Positions (direct):
N 0.819 0.681 0.250
N 0.181 0.319 0.750
N 0.590 0.910 0.750
N 0.410 0.090 0.250
Ti 0.217 0.922 0.453
Ti 0.578 0.283 0.047
Ti 0.783 0.078 0.547
Ti 0.422 0.717 0.953
Nb 0.130 0.370 0.250
Nb 0.870 0.630 0.750

volume: 121 Å³/cell
magnetic moment: 0.0 μB per formula unit
symmetry: C2/c
formation energy from raw total energies: -0.89 eV/atom
D(E_F): 5.160 states/eV per cell
crystal system: monoclinic

---

First-principles (PBE) data for a relaxed structure of TiNb3N, as listed in Alexandria.

a b c (Å): 4.645 4.645 4.645
angles (deg): 90.00 90.00 90.00
Positions (direct):
Nb 0.500 0.000 0.000
Nb 0.000 0.500 0.000
Nb 0.000 0.000 0.500
N 0.500 0.500 0.500
Ti 0.000 0.000 0.000

energy above the most stable polymorph in this dataset: 258.4 kJ/mol of atoms
volume: 100 Å³/cell
magnetic moment: 0.0 μB per formula unit
symmetry: Pm-3m
formation energy from raw total energies: 2.21 eV/atom
D(E_F): 6.712 states/eV per cell
crystal system: cubic